Below is a relaxed Zn2MoAs crystal, with properties calculated at the GGA-PBEsol level.

Properties
- calculated total energy (eV per atom) = -4.8059
- symmetry = Cmm2
- magnetic moment (μB/atom) = 0.00

Geometry as POSCAR:
```
Zn2MoAs
1.0
2.780 0.003 0.000
-0.722 2.684 0.000
0.000 0.000 8.522
As Mo Zn
1 1 2
Cartesian
0.000 0.000 4.033
1.029 1.344 2.112
0.000 0.000 0.049
1.029 1.344 6.588
```